Here is an optimized crystal structure of Na2NdZrS4 from Alexandria. Energies are from PBE-GGA.

Computed properties:
D(E_F) = 0.398 states/eV per atom
crystal system = monoclinic
E = -5.6556 eV per atom
E_form (uncorrected) = -1597.6 meV per atom
V = 179 Å³/cell
symmetry = P2/m (10)
size of the total moment = 0.0 μB per formula unit

a = 3.886 Å, b = 6.809 Å, c = 7.127 Å
α = 108.29°, β = 90.00°, γ = 90.00°
Fractional positions:
Na1 0.500 0.000 0.500
Na2 0.000 0.500 0.500
Nd1 0.000 0.000 0.000
Zr1 0.500 0.500 0.000
S1 0.500 0.265 0.234
S2 0.500 0.735 0.766
S3 0.000 0.276 0.775
S4 0.000 0.724 0.225